[1]
ScTiCuPd | PBE | relaxed

a b c (Å): 4.5451 4.5451 4.5451
angles (deg): 60.00 60.00 60.00
Sites, in units of the cell vectors:
Sc: 0.0000 0.0000 0.0000
Ti: 0.5000 0.5000 0.5000
Cu: 0.7500 0.7500 0.7500
Pd: 0.2500 0.2500 0.2500

Values from the calculation:
The value obtained for the formation energy from the elements is -0.3800 eV per atom.

[2]
NpSeBr2O6 | PBE | relaxed

a b c (Å): 5.3234 5.5138 6.9769
angles (deg): 83.55 84.18 88.03
Sites, in units of the cell vectors:
Np: 0.0000 0.0000 0.0000
Se: 0.5000 0.5000 0.0000
Br: 0.3780 0.6512 0.5725
Br: 0.6220 0.3488 0.4275
O: 0.1251 0.9978 0.7483
O: 0.2419 0.2890 0.0462
O: 0.2906 0.7421 0.0873
O: 0.7094 0.2579 0.9127
O: 0.7581 0.7110 0.9538
O: 0.8749 0.0022 0.2517

Values from the calculation:
Its raw formation energy is -1.098 eV per atom.

[3]
BaCaTe2 | PBE | relaxed

a b c (Å): 8.7719 8.7719 16.2624
angles (deg): 92.72 92.72 90.12
Sites, in units of the cell vectors:
Ba: 0.0899 0.8859 0.6267
Ba: 0.0944 0.3868 0.6424
Ba: 0.1141 0.9101 0.8733
Ba: 0.3868 0.0944 0.1424
Ba: 0.6132 0.9056 0.8576
Ba: 0.8859 0.0899 0.1267
Ba: 0.9056 0.6132 0.3576
Ba: 0.9101 0.1141 0.3733
Ca: 0.1369 0.5874 0.1134
Ca: 0.3678 0.4161 0.8885
Ca: 0.4126 0.8631 0.3866
Ca: 0.4161 0.3678 0.3885
Ca: 0.5839 0.6322 0.6115
Ca: 0.5874 0.1369 0.6134
Ca: 0.6322 0.5839 0.1115
Ca: 0.8631 0.4126 0.8866
Te: 0.1263 0.2699 0.9935
Te: 0.1409 0.8591 0.2500
Te: 0.1422 0.3475 0.2528
Te: 0.2629 0.6225 0.4914
Te: 0.2699 0.1263 0.4935
Te: 0.3447 0.6553 0.7500
Te: 0.3475 0.1422 0.7528
Te: 0.3775 0.7371 0.0086
Te: 0.6225 0.2629 0.9914
Te: 0.6525 0.8578 0.2472
Te: 0.6553 0.3447 0.2500
Te: 0.7301 0.8737 0.5065
Te: 0.7371 0.3775 0.5086
Te: 0.8578 0.6525 0.7472
Te: 0.8591 0.1409 0.7500
Te: 0.8737 0.7301 0.0065

Values from the calculation:
Its raw formation energy is -1.594 eV per atom.

Let's list M_tot in order: 0.7; 0.0; 0.0 Bohr magnetons per cell.